Density functional theory data (PBE) for an optimized crystal structure of CeSmSb2Pd2.

The structure in POSCAR format:
```
CeSmSb2Pd2
1.0
4.6098 0.0000 0.0000
-2.3049 3.9922 0.0000
0.0000 0.0000 7.8849
Pd Sb Sm Ce
2 2 1 1
direct
0.6667 0.3333 0.2657 Pd
0.3333 0.6667 0.7343 Pd
0.3333 0.6667 0.2456 Sb
0.6667 0.3333 0.7544 Sb
0.0000 0.0000 0.5000 Sm
0.0000 0.0000 0.0000 Ce
```

Results
VASP energy = -5.892 eV per atom

Density functional theory data (PBE) for an optimized crystal structure of Sm2Mg12Cd7.

The structure in POSCAR format:
```
Sm2Mg12Cd7
1.0
-1.4181 -1.9807 2.2886
-9.5589 -2.7778 -8.3273
10.7002 -7.3391 0.2788
Cd Mg Sm
7 12 2
direct
0.7507 0.1359 0.7103 Cd
0.2493 0.8641 0.2897 Cd
0.5000 0.0000 0.0000 Cd
0.7507 0.5744 0.8641 Cd
0.2493 0.4256 0.1359 Cd
0.7507 0.2897 0.4256 Cd
0.2493 0.7103 0.5744 Cd
0.7589 0.2465 0.1686 Mg
0.2519 0.6207 0.0773 Mg
0.2519 0.9227 0.5435 Mg
0.7481 0.0773 0.4565 Mg
0.2411 0.7535 0.8314 Mg
0.7589 0.9221 0.7535 Mg
0.7589 0.8314 0.0779 Mg
0.2411 0.0779 0.2465 Mg
0.7481 0.5435 0.6207 Mg
0.2519 0.4565 0.3793 Mg
0.2411 0.1686 0.9221 Mg
0.7481 0.3793 0.9227 Mg
0.2516 0.3333 0.6667 Sm
0.7484 0.6667 0.3333 Sm
```

Results
E_form = -0.15 eV per atom

Density functional theory data (PBE) for an optimized crystal structure of K3BiSe3.

The structure in POSCAR format:
```
K3BiSe3
1.0
8.2937 0.6940 0.0000
-0.9757 8.8729 0.0000
0.0000 0.0000 13.9793
Se K Bi
12 12 4
direct
0.9521 0.8299 0.1310 Se
0.4659 0.8284 0.3388 Se
0.5341 0.1716 0.6612 Se
0.9411 0.7937 0.4615 Se
0.0479 0.1701 0.8690 Se
0.4411 0.2937 0.0385 Se
0.4521 0.3299 0.3690 Se
0.5479 0.6701 0.6310 Se
0.5589 0.7063 0.9615 Se
0.9659 0.3284 0.1612 Se
0.0589 0.2063 0.5385 Se
0.0341 0.6716 0.8388 Se
0.8563 0.9271 0.6798 K
0.1437 0.0729 0.3202 K
0.6437 0.5729 0.1798 K
0.6445 0.0614 0.1709 K
0.7929 0.4053 0.9509 K
0.3555 0.9386 0.8291 K
0.8555 0.4386 0.6709 K
0.2929 0.9053 0.5491 K
0.2071 0.5947 0.0491 K
0.1445 0.5614 0.3291 K
0.7071 0.0947 0.4509 K
0.3563 0.4271 0.8202 K
0.3474 0.3550 0.5534 Bi
0.8474 0.8550 0.9466 Bi
0.1526 0.1450 0.0534 Bi
0.6526 0.6450 0.4466 Bi
```

Results
VASP energy = -3.419 eV per atom

no.,total magnetization (Bohr magnetons per cell)
1,1.077
2,0.000
3,0.000